Entry 1:
Here is an optimized crystal structure of Ho3AlO6 from OQMD via LeMat-Bulk. Energies are from PBE.

Cell: 8.753 10.954 5.330 Å, 90.00 90.00 90.00°
Space group Cmc2_1 (No. 36)
Symmetry-distinct sites (fractional):
Ho (0.000, 0.103, 0.000)
Ho (0.192, 0.394, 0.047)
Al (0.000, 0.306, 0.583)
O (0.000, 0.285, 0.254)
O (0.000, 0.457, 0.712)
O (0.155, 0.238, 0.748)
O (0.161, 0.016, 0.274)

Properties
Final energy   -8.185 eV per atom

=====

Entry 2:
Here is an optimized crystal structure of Ho2Al2O5 from OQMD via LeMat-Bulk. Energies are from PBE.

Cell: 3.773 3.773 8.824 Å, 90.00 90.00 90.00°
Space group P4/mmm (No. 123)
Symmetry-distinct sites (fractional):
Ho (0.000, 0.000, 0.244)
Al (0.500, 0.500, 0.000)
Al (0.500, 0.500, 0.500)
O (0.000, 0.000, 0.500)
O (0.000, 0.500, 0.134)

Properties
Final energy   -6.858 eV per atom
Energy above the lowest structure with this stoichiometry   636 meV/atom

=====

Entry 3:
Here is an optimized crystal structure of Ho2Al2O5 from OQMD via LeMat-Bulk. Energies are from PBE.

Cell: 3.700 3.700 6.958 Å, 90.00 90.00 90.00°
Space group P4/mmm (No. 123)
Symmetry-distinct sites (fractional):
Ho (0.000, 0.000, 0.000)
Ho (0.000, 0.000, 0.500)
Al (0.500, 0.500, 0.230)
O (0.000, 0.500, 0.241)
O (0.500, 0.500, 0.500)

Properties
Final energy   -7.493 eV per atom
Energy above the lowest structure with this stoichiometry   0 meV/atom

=====

Entry 4:
Here is an optimized crystal structure of Ho2AlO4 from OQMD via LeMat-Bulk. Energies are from PBE.

Cell: 8.976 8.976 8.976 Å, 90.00 90.00 90.00°
Space group Fd-3m (No. 227, origin choice 2)
Symmetry-distinct sites (fractional):
Ho (0.000, 0.000, 0.000)
Al (0.125, 0.125, 0.625)
O (0.009, 0.009, 0.741)

Properties
Final energy   -7.737 eV per atom

=====

Entry 5:
Here is an optimized crystal structure of HoAl3Pb2O8 from OQMD via LeMat-Bulk. Energies are from PBE.

Cell: 9.417 9.417 9.417 Å, 90.00 90.00 90.00°
Space group Pn-3m (No. 224, origin choice 2)
Symmetry-distinct sites (fractional):
Ho (0.000, 0.000, 0.000)
Al (0.000, 0.250, 0.750)
Pb (0.114, 0.114, 0.386)
O (0.089, 0.089, 0.764)
O (0.137, 0.137, 0.137)

Properties
Final energy   -7.076 eV per atom

=====

Entry 6:
Here is an optimized crystal structure of SrHo2Al2O7 from OQMD via LeMat-Bulk. Energies are from PBE.

Cell: 3.694 3.694 19.367 Å, 90.00 90.00 90.00°
Space group I4/mmm (No. 139)
Symmetry-distinct sites (fractional):
Sr (0.000, 0.000, 0.000)
Ho (0.000, 0.000, 0.182)
Al (0.000, 0.000, 0.403)
O (0.000, 0.000, 0.295)
O (0.000, 0.000, 0.500)
O (0.000, 0.500, 0.107)

Properties
Final energy   -7.661 eV per atom

=====

Entry 7:
Here is an optimized crystal structure of HoAl2Os2 from OQMD via LeMat-Bulk. Energies are from PBE.

Cell: 4.116 4.116 10.655 Å, 90.00 90.00 90.00°
Space group I4/mmm (No. 139)
Symmetry-distinct sites (fractional):
Ho (0.000, 0.000, 0.000)
Al (0.000, 0.000, 0.380)
Os (0.000, 0.500, 0.250)

Properties
Final energy   -7.110 eV per atom

=====

Entry 8:
Here is an optimized crystal structure of PrHoAlOs2 from OQMD via LeMat-Bulk. Energies are from PBE.

Cell: 4.244 5.611 9.005 Å, 90.00 90.00 90.00°
Space group Imm2 (No. 44)
Symmetry-distinct sites (fractional):
Pr (0.000, 0.000, 0.000)
Ho (0.000, 0.000, 0.594)
Al (0.000, 0.500, 0.797)
Os (0.000, 0.278, 0.295)

Properties
Final energy   -7.421 eV per atom